Hg3C2: optimized geometry, PBE. Values from VASP.

Properties
Polymorph energy (0 for the lowest one)   0 meV/atom
Calculated total energy   -11.94 eV per formula unit
Space group   I4_1/amd, No. 141
Density of states at the Fermi level   0.183 states/eV/atom
Energy relative to the elements   1.482 eV per atom

Quantum ESPRESSO input file:
```
&SYSTEM
  ibrav = 0, nat = 10, ntyp = 2
/
ATOMIC_SPECIES
Hg 200.59 Hg.upf
C 12.01 C.upf
CELL_PARAMETERS angstrom
0.000 5.135 5.138
4.184 0.000 5.138
4.184 5.135 0.000
ATOMIC_POSITIONS crystal
Hg 0.125 0.125 0.625
Hg 0.625 0.125 0.125
Hg 0.125 0.625 0.125
Hg 0.125 0.125 0.125
Hg 0.500 0.500 0.500
Hg 0.750 0.750 0.750
C 0.498 0.002 0.002
C 0.002 0.498 0.498
C 0.752 0.248 0.248
C 0.248 0.752 0.752
```